! BaUCoO6 (GGA+U, relaxed); values from VASP
! space-group type	No. 5
! magnetization	1.06	μB per formula unit
! DFT total energy	-7.641	eV per atom
&SYSTEM
  ibrav = 0, nat = 9, ntyp = 4
/
ATOMIC_SPECIES
Ba 137.33 Ba.upf
U 238.03 U.upf
Co 58.93 Co.upf
O 16.00 O.upf
ATOMIC_POSITIONS crystal
Ba 0.9995 0.0009 0.0000
U 0.3336 0.3327 0.5000
Co 0.6690 0.6618 0.5000
O 0.9726 0.3926 0.3116
O 0.3949 0.9765 0.6903
O 0.6347 0.3927 0.6884
O 0.9780 0.6332 0.6880
O 0.3888 0.6332 0.3120
O 0.6286 0.9764 0.3097
CELL_PARAMETERS angstrom
-2.5970 4.6276 -0.6062
-5.1919 0.0216 -1.1221
-1.2538 0.0868 5.7184